1.
## MgTc3Sb (PBE)

Data for MgTc3Sb after structural relaxation.

raw total energy = -5.770 eV per atom
DOS at the Fermi energy = 1.75 states/eV per atom
energy relative to the lowest polymorph listed for this composition = 0.0 meV per atom
ΔE_f (raw) = 36.7 kcal/mol of atoms
space group = No. 221

Lattice parameters (Å, degrees): 4.871 4.871 4.871 90.00 90.00 90.00
Site moments in Bohr magnetons follow the coordinates.
Positions (direct):
Sb: 0.000 0.000 0.000  -0.03
Mg: 0.500 0.500 0.500  -0.02
Tc: 0.000 0.500 0.000  1.02
Tc: 0.000 0.000 0.500  1.14
Tc: 0.500 0.000 0.000  0.89

***

2.
## AcGa2Bi (PBE)

Data for AcGa2Bi after structural relaxation.

raw total energy = -3.851 eV per atom
DOS at the Fermi energy = 0.47 states/eV per atom
energy relative to the lowest polymorph listed for this composition = 99.1 meV per atom
formation energy from the elements = -340 meV/atom
space group = No. 166

Lattice parameters (Å, degrees): 4.985 4.985 6.045 65.65 65.65 60.00
Positions (direct):
Ac: 0.500 0.500 0.500
Bi: 0.000 0.000 0.000
Ga: 0.279 0.279 0.164
Ga: 0.721 0.721 0.836

***

3.
## KZrIn (PBE)

Data for KZrIn after structural relaxation.

raw total energy = -3.948 eV per atom
DOS at the Fermi energy = 0.67 states/eV per atom
energy relative to the lowest polymorph listed for this composition = 231.7 meV per atom
formation energy from the elements = 180 meV/atom
space group = No. 1

Lattice parameters (Å, degrees): 5.400 4.149 11.025 89.87 99.55 67.40
Site moments in Bohr magnetons follow the coordinates.
Positions (direct):
K: 0.952 0.825 0.534  0.00
K: 0.280 0.156 0.226  0.01
Zr: 0.475 0.062 0.760  0.52
Zr: 0.347 0.625 0.930  0.62
In: 0.911 0.344 0.826  -0.01
In: 0.799 0.899 0.029  0.04

***

4.
## ScNbH3 (PBE)

Data for ScNbH3 after structural relaxation.

raw total energy = -5.556 eV per atom
DOS at the Fermi energy = 0.41 states/eV per atom
energy relative to the lowest polymorph listed for this composition = 0.0 meV per atom
space group = No. 221

Lattice parameters (Å, degrees): 3.662 3.662 3.662 90.00 90.00 90.00
Positions (direct):
Sc: 0.500 0.500 0.500
H: 0.000 0.500 0.000
H: 0.000 0.000 0.500
H: 0.500 0.000 0.000
Nb: 0.000 0.000 0.000

***

5.
## ZnPHS2 (PBE)

Data for ZnPHS2 after structural relaxation.

raw total energy = -2.427 eV per atom
DOS at the Fermi energy = 0.82 states/eV per atom
energy relative to the lowest polymorph listed for this composition = 619.0 meV per atom
space group = No. 123

Lattice parameters (Å, degrees): 4.708 4.708 4.766 90.00 90.00 90.00
Site moments in Bohr magnetons follow the coordinates.
Positions (direct):
P: 0.000 0.000 0.500  -0.43
Zn: 0.000 0.000 0.000  0.01
S: 0.000 0.500 0.000  0.23
S: 0.500 0.000 0.000  0.23
H: 0.500 0.500 0.500  0.35

***

6.
## TiCuSn2Ru (PBE)

Data for TiCuSn2Ru after structural relaxation.

raw total energy = -5.374 eV per atom
DOS at the Fermi energy = 1.45 states/eV per atom
formation energy from the elements = 481 meV/atom
space group = No. 123

Lattice parameters (Å, degrees): 5.109 4.731 5.109 90.00 90.00 90.00
Positions (direct):
Ru: 0.000 0.000 0.000
Sn: 0.000 0.000 0.500
Sn: 0.500 0.000 0.000
Cu: 0.500 0.500 0.500
Ti: 0.000 0.500 0.000